1.
Gd5NiPb3 (PBE, relaxed); energy = -4.975 eV per atom; SG = P6_3/mcm, No. 193
1.0
9.2654 0.0000 0.0000
-4.6327 8.0241 0.0000
0.0000 0.0000 6.7648
Gd Ni Pb
10 2 6
Direct
0.0000 0.2389 0.2500
0.0000 0.7611 0.7500
0.2389 0.0000 0.2500
0.2389 0.2389 0.7500
0.3333 0.6667 0.0000
0.3333 0.6667 0.5000
0.6667 0.3333 0.0000
0.6667 0.3333 0.5000
0.7611 0.0000 0.7500
0.7611 0.7611 0.2500
0.0000 0.0000 0.0000
0.0000 0.0000 0.5000
0.0000 0.3998 0.7500
0.0000 0.6002 0.2500
0.3998 0.0000 0.7500
0.3998 0.3998 0.2500
0.6002 0.0000 0.2500
0.6002 0.6002 0.7500

2.
GdNiPb (PBE, relaxed); energy = -4.214 eV per atom; SG = P6_3/mmc, No. 194
1.0
5.0763 0.0000 0.0000
-2.5381 4.3962 0.0000
0.0000 0.0000 7.7211
Gd Ni Pb
2 2 2
Direct
0.3333 0.6667 0.2500
0.6667 0.3333 0.7500
0.0000 0.0000 0.0000
0.0000 0.0000 0.5000
0.3333 0.6667 0.7500
0.6667 0.3333 0.2500

3.
GdNiPb (PBE, relaxed); energy = -4.914 eV per atom; SG = P-6m2, No. 187
1.0
4.7858 0.0000 0.0000
-2.3929 4.1446 0.0000
0.0000 0.0000 10.0294
Gd Ni Pb
3 3 3
Direct
0.0000 0.0000 0.0000
0.3333 0.6667 0.3112
0.3333 0.6667 0.6888
0.0000 0.0000 0.3828
0.0000 0.0000 0.6172
0.3333 0.6667 0.0000
0.6667 0.3333 0.1619
0.6667 0.3333 0.5000
0.6667 0.3333 0.8381

4.
GdNiPb (PBE, relaxed); energy = -5.033 eV per atom; SG = P6_3/mmc, No. 194
1.0
4.6015 0.0000 0.0000
-2.3008 3.9850 0.0000
0.0000 0.0000 7.1882
Gd Ni Pb
2 2 2
Direct
0.0000 0.0000 0.0000
0.0000 0.0000 0.5000
0.3333 0.6667 0.2500
0.6667 0.3333 0.7500
0.3333 0.6667 0.7500
0.6667 0.3333 0.2500